# CaTaV2Zn GGA-PBE optimized geometry
# Energy of formation from the pure elements (meV per atom): 2289
# Magnetization (μB per formula unit): 0.00
# Symmetry: No. 123
data_CaTaV2Zn
_chemical_formula_sum 'Ca1 Ta1 V2 Zn1'
_symmetry_space_group_name_H-M 'P 1'
_symmetry_Int_Tables_number 1
_cell_length_a 4.345
_cell_length_b 4.345
_cell_length_c 4.902
_cell_angle_alpha 90.00
_cell_angle_beta 90.00
_cell_angle_gamma 90.00
loop_
_symmetry_equiv_pos_as_xyz
'x,y,z'
loop_
_atom_site_label
_atom_site_fract_x
_atom_site_fract_y
_atom_site_fract_z
_atom_site_occupancy
Ca1 0.000 0.000 0.000 1
V1 0.000 0.500 0.000 1
V2 0.500 0.000 0.000 1
Zn1 0.500 0.500 0.500 1
Ta1 0.000 0.000 0.500 1